Density functional theory data (GGA-PBE) for an optimized crystal structure of AlVTcMo.

Cell: 4.3668 4.3668 4.3668 Å, 60.00 60.00 60.00°
Last column: nearest neighbours and their distance in Å.
Element x y z (fractional)
Tc 0.0000 0.0000 0.0000  4 Mo 2.67, 4 Al 2.67
Mo 0.2500 0.2500 0.2500  4 Tc 2.67, 4 V 2.67
Al 0.7500 0.7500 0.7500  4 Tc 2.67, 4 V 2.67
V 0.5000 0.5000 0.5000  4 Mo 2.67, 4 Al 2.67

Computed properties:
The space-group type is F-43m, No. 216. Its calculated total energy is -34.84 eV/cell. Its magnetic moment is 0.45 μB per atom.